DFT (GGA-PBE) results for HgRuN2F after structural relaxation.

Calculated values
For the density of states at the Fermi level, the calculation gives 3.77 states/eV/cell. The total magnetic moment comes out at 1.100 μB/atom. The energy above the lowest structure with this stoichiometry is 1511 meV/atom. For the formation energy (no corrections), the calculation gives 9.842 eV per formula unit.

Unit cell a=4.1545 b=4.1545 c=4.5779 alpha=90.00 beta=90.00 gamma=90.00
Element x y z (fractional)
Hg 0.0000 0.0000 0.0000
Ru 0.5000 0.5000 0.5000
N 0.0000 0.5000 0.0000
N 0.5000 0.0000 0.0000
F 0.0000 0.0000 0.5000